No. 1
A plane-wave DFT calculation with PBE-GGA was carried out for KTa2Sb after structural relaxation.

The structure belongs to space group R-3m (No. 166, hexagonal axes); the cell edges are 3.0840, 3.0840 and 33.8215 Å and the angles 90.00°, 90.00° and 120.00°. The asymmetric unit holds K at (0.0000, 0.0000, 0.0000), Ta at (0.0000, 0.0000, 0.2373) and Sb at (0.0000, 0.0000, 0.5000).

The total energy comes out at -6.39 eV/atom. For the formation energy from raw total energies, the calculation gives 80.8 kJ/mol of atoms.

---

No. 2
A plane-wave DFT calculation with PBE-GGA was carried out for CdSbBr2 after structural relaxation.

The structure belongs to space group P4/mmm (No. 123); the cell edges are 4.9859, 4.9859 and 4.3511 Å and the angles 90.00°, 90.00° and 90.00°. The asymmetric unit holds Cd at (0.0000, 0.0000, 0.0000), Sb at (0.5000, 0.5000, 0.0000) and Br at (0.0000, 0.5000, 0.5000).

The total energy comes out at -2.02 eV/atom. For the formation energy from raw total energies, the calculation gives 7.0 kJ/mol of atoms. The value obtained for the energy above the most stable polymorph in this dataset is 415 meV per atom.

---

No. 3
A plane-wave DFT calculation with PBE-GGA was carried out for BaPdW2Cl after structural relaxation.

The structure belongs to space group P4/mmm (No. 123); the cell edges are 5.7476, 5.7476 and 5.5395 Å and the angles 90.00°, 90.00° and 90.00°. The asymmetric unit holds Ba at (0.0000, 0.0000, 0.0000), Pd at (0.5000, 0.5000, 0.5000), W at (0.0000, 0.5000, 0.0000) and Cl at (0.0000, 0.0000, 0.5000).

The total energy comes out at -4.08 eV/atom. For the formation energy from raw total energies, the calculation gives 279.6 kJ/mol of atoms.

---

No. 4
A plane-wave DFT calculation with PBE-GGA was carried out for GdTm2Pt after structural relaxation.

The structure belongs to space group P4/mmm (No. 123); the cell edges are 3.5188, 3.5188 and 8.4880 Å and the angles 90.00°, 90.00° and 90.00°. The asymmetric unit holds Gd at (0.0000, 0.0000, 0.0000), Tm at (0.5000, 0.5000, 0.3092) and Pt at (0.0000, 0.0000, 0.5000).

As for the formation energy: -633.9 meV per atom. The total energy comes out at -7.90 eV/atom. The value obtained for the energy above the most stable polymorph in this dataset is 0 meV per atom.

---

No. 5
A plane-wave DFT calculation with PBE-GGA was carried out for PrSnHg after structural relaxation.

The structure belongs to space group I4mm (No. 107); the cell edges are 3.7907, 3.7907 and 11.6389 Å and the angles 90.00°, 90.00° and 90.00°. The asymmetric unit holds Pr at (0.0000, 0.0000, 0.0000), Sn at (0.0000, 0.0000, 0.3136) and Hg at (0.0000, 0.0000, 0.6666).

As for the formation energy: -395.4 meV per atom. The total energy comes out at -3.42 eV/atom.

---

No. 6
A plane-wave DFT calculation with PBE-GGA was carried out for PbCl2 after structural relaxation.

The structure belongs to space group P4/mmm (No. 123); the cell edges are 4.8397, 4.8397 and 3.7395 Å and the angles 90.00°, 90.00° and 90.00°. The asymmetric unit holds Pb at (0.0000, 0.0000, 0.0000) and Cl at (0.0000, 0.5000, 0.5000).

The total energy comes out at -3.48 eV/atom. For the formation energy from raw total energies, the calculation gives -98.2 kJ/mol of atoms.